# PBE-GGA Cr2InReNi, optimized geometry
# Density   7.50 g/cm³
# Total moment   0.03 μB per formula unit
# Energy of formation   2.85 eV per atom
data_Cr2InReNi
_symmetry_space_group_name_H-M 'P 4/m m m'
_symmetry_Int_Tables_number 123
_symmetry_space_group_name_Hall '-P 4 2'
_cell_length_a 4.6104
_cell_length_b 4.6104
_cell_length_c 4.8325
_cell_angle_alpha 90.00
_cell_angle_beta 90.00
_cell_angle_gamma 90.00
loop_
_atom_site_label
_atom_site_fract_x
_atom_site_fract_y
_atom_site_fract_z
Cr1 0.0000 0.5000 0.0000
In1 0.0000 0.0000 0.0000
Re1 0.0000 0.0000 0.5000
Ni1 0.5000 0.5000 0.5000